Record 1
The following is a GGA-PBE calculation of Tl2MoPS after structural relaxation, from the Alexandria database.

abc: 5.3753 4.5556 5.3753
angles: 90.00 90.00 90.00
Each line ends with the local moment (μB).
Element x y z (fractional)
S: 0.0000 0.5000 0.0000  0.04
P: 0.0000 0.0000 0.0000  0.03
Tl: 0.0000 0.0000 0.5000  0.02
Tl: 0.5000 0.0000 0.0000  0.01
Mo: 0.5000 0.5000 0.5000  3.71

Computed properties:
SG	P4/mmm
raw formation energy	1.087	eV/atom
raw total energy	-19.66	eV for the cell shown
M_tot	0.953	μB per atom
calculated volume	26.3	A^3/atom
density	7.162	g/cm³

***

Record 2
The following is a GGA-PBE calculation of TlMoP2S after structural relaxation, from the Alexandria database.

abc: 4.9443 4.9443 5.0006
angles: 90.00 90.00 90.00
Each line ends with the local moment (μB).
Element x y z (fractional)
S: 0.0000 0.0000 0.5000  -0.03
P: 0.0000 0.5000 0.0000  0.09
P: 0.5000 0.0000 0.0000  0.09
Tl: 0.0000 0.0000 0.0000  0.01
Mo: 0.5000 0.5000 0.5000  -0.13

Computed properties:
energy relative to the lowest polymorph listed for this composition	1796	meV/atom
SG	P4/mmm
raw formation energy	1.978	eV/atom
raw total energy	-18.26	eV for the cell shown
M_tot	0.037	μB per atom
calculated volume	24.4	A^3/atom
density	5.357	g/cm³

***

Record 3
The following is a GGA-PBE calculation of TlMoP2S after structural relaxation, from the Alexandria database.

abc: 4.7499 4.7499 4.8664
angles: 90.00 90.00 90.00
Element x y z (fractional)
S: 0.0000 0.0000 0.5000
P: 0.0000 0.5000 0.0000
P: 0.5000 0.0000 0.0000
Tl: 0.5000 0.5000 0.5000
Mo: 0.0000 0.0000 0.0000

Computed properties:
energy relative to the lowest polymorph listed for this composition	0	meV/atom
SG	P4/mmm
raw formation energy	0.181	eV/atom
raw total energy	-27.24	eV for the cell shown
M_tot	0.000	μB per atom
calculated volume	22.0	A^3/atom
density	5.964	g/cm³

***

Record 4
The following is a GGA-PBE calculation of VMoPS2 after structural relaxation, from the Alexandria database.

abc: 4.6028 4.6028 4.7845
angles: 90.00 90.00 90.00
Each line ends with the local moment (μB).
Element x y z (fractional)
P: 0.0000 0.0000 0.5000  0.06
Mo: 0.0000 0.0000 0.0000  -0.03
S: 0.0000 0.5000 0.0000  0.01
S: 0.5000 0.0000 0.0000  0.01
V: 0.5000 0.5000 0.5000  -0.05

Computed properties:
energy relative to the lowest polymorph listed for this composition	203	meV/atom
SG	P4/mmm
raw formation energy	0.713	eV/atom
raw total energy	-30.05	eV for the cell shown
M_tot	0.007	μB per atom
calculated volume	20.3	A^3/atom
density	3.964	g/cm³